The following is a DFT calculation (PBE) of a geometry-optimized CdFePbSe3 structure.

It has space group Cmcm (No. 63), with a = 4.042 Å, b = 13.407 Å, c = 10.760 Å, α = 90.00°, β = 90.00° and γ = 90.00°. The asymmetric unit holds Cd at (0.000, 0.000, 0.000), Fe at (0.000, 0.464, 0.250), Pb at (0.000, 0.245, 0.750), Se at (0.000, 0.074, 0.250) and Se at (0.000, 0.360, 0.066).

The energy above the most stable polymorph in this dataset is 0 meV/atom. As for the total magnetization: 16.0 μB per cell. The mass density comes out at 6.98 g cm⁻³.

The following is a DFT calculation (PBE) of a geometry-optimized CdFeTe3Pb structure.

It has space group Cmcm (No. 63), with a = 4.211 Å, b = 14.601 Å, c = 10.988 Å, α = 90.00°, β = 90.00° and γ = 90.00°. The asymmetric unit holds Cd at (0.000, 0.029, 0.250), Fe at (0.000, 0.500, 0.000), Te at (0.000, 0.134, 0.040), Te at (0.000, 0.403, 0.250) and Pb at (0.000, 0.272, 0.750).

The energy above the most stable polymorph in this dataset is 92 meV/atom. As for the total magnetization: 15.5 μB per cell. The mass density comes out at 7.45 g cm⁻³.

The following is a DFT calculation (PBE) of a geometry-optimized CdFeTe3Pb structure.

It has space group Cmcm (No. 63), with a = 4.259 Å, b = 14.124 Å, c = 11.605 Å, α = 90.00°, β = 90.00° and γ = 90.00°. The asymmetric unit holds Cd at (0.000, 0.000, 0.000), Fe at (0.000, 0.462, 0.250), Te at (0.000, 0.077, 0.250), Te at (0.000, 0.358, 0.063) and Pb at (0.000, 0.229, 0.750).

The energy above the most stable polymorph in this dataset is 0 meV/atom. As for the total magnetization: 16.0 μB per cell. The mass density comes out at 7.21 g cm⁻³.

The following is a DFT calculation (PBE) of a geometry-optimized ZrCdFePb structure.

It has space group F-43m (No. 216), with a = 6.846 Å, b = 6.846 Å, c = 6.846 Å, α = 90.00°, β = 90.00° and γ = 90.00°. The asymmetric unit holds Zr at (0.000, 0.000, 0.000), Cd at (0.250, 0.250, 0.250), Fe at (0.250, 0.250, 0.750) and Pb at (0.000, 0.000, 0.500).

The energy above the most stable polymorph in this dataset is 14 meV/atom. As for the total magnetization: 5.9 μB per cell. The mass density comes out at 9.66 g cm⁻³.

The following is a DFT calculation (PBE) of a geometry-optimized ZrCdFePb structure.

It has space group F-43m (No. 216), with a = 6.878 Å, b = 6.878 Å, c = 6.878 Å, α = 90.00°, β = 90.00° and γ = 90.00°. The asymmetric unit holds Zr at (0.000, 0.000, 0.000), Cd at (0.250, 0.250, 0.750), Fe at (0.000, 0.000, 0.500) and Pb at (0.250, 0.250, 0.250).

The energy above the most stable polymorph in this dataset is 0 meV/atom. As for the total magnetization: 8.1 μB per cell. The mass density comes out at 9.53 g cm⁻³.

The following is a DFT calculation (PBE) of a geometry-optimized CdFePd2 structure.

It has space group F-43m (No. 216), with a = 6.318 Å, b = 6.318 Å, c = 6.318 Å, α = 90.00°, β = 90.00° and γ = 90.00°. The asymmetric unit holds Cd at (0.000, 0.000, 0.000), Fe at (0.250, 0.250, 0.750), Pd at (0.000, 0.000, 0.500) and Pd at (0.250, 0.250, 0.250).

As for the total magnetization: 12.5 μB per cell. The calculation puts the total energy at -0.1799 hartree per atom. The mass density comes out at 10.04 g cm⁻³.

The following is a DFT calculation (PBE) of a geometry-optimized CdFeSiPd structure.

It has space group F-43m (No. 216), with a = 6.188 Å, b = 6.188 Å, c = 6.188 Å, α = 90.00°, β = 90.00° and γ = 90.00°. The asymmetric unit holds Cd at (0.000, 0.000, 0.000), Fe at (0.250, 0.250, 0.750), Si at (0.000, 0.000, 0.500) and Pd at (0.250, 0.250, 0.250).

The energy above the most stable polymorph in this dataset is 0 meV/atom. As for the total magnetization: 8.0 μB per cell. The mass density comes out at 8.49 g cm⁻³.

The following is a DFT calculation (PBE) of a geometry-optimized CdFeSnPd structure.

It has space group F-43m (No. 216), with a = 6.500 Å, b = 6.500 Å, c = 6.500 Å, α = 90.00°, β = 90.00° and γ = 90.00°. The asymmetric unit holds Cd at (0.000, 0.000, 0.000), Fe at (0.250, 0.250, 0.750), Sn at (0.000, 0.000, 0.500) and Pd at (0.250, 0.250, 0.250).

The energy above the most stable polymorph in this dataset is 0 meV/atom. As for the total magnetization: 9.1 μB per cell. The mass density comes out at 9.52 g cm⁻³.

- Number 2 is which compound?
  CdFeTe3Pb

- The highest mass density belongs to which entry?
  CdFePd2

- Number 1 is which compound?
  CdFePbSe3

- Which of these has the highest mass density?
  CdFePd2